An optimized crystal structure of SrAlCl, computed with PBE.

Structure (POSCAR):
```
SrAlCl
1.0
0.000 3.773 3.773
3.773 0.000 3.773
3.773 3.773 0.000
Sr Al Cl
1 1 1
direct
0.000 0.000 0.000 Sr
0.750 0.750 0.750 Al
0.500 0.500 0.500 Cl
```

## Properties
symmetry: F-43m, No. 216
ΔE_f (raw): -0.136 eV per atom
spin magnetization: 0.0 μB per formula unit
excess energy over the best structure of this formula in the dataset: 543 meV per atom

An optimized crystal structure of SrAl2Cl, computed with PBE.

Structure (POSCAR):
```
SrAl2Cl
1.0
1.771 1.022 9.482
-1.771 1.022 9.482
0.000 -2.044 9.482
Sr Al Cl
1 2 1
direct
0.000 0.000 0.000 Sr
0.240 0.240 0.240 Al
0.760 0.760 0.760 Al
0.500 0.500 0.500 Cl
```

## Properties
symmetry: R-3m, No. 166
ΔE_f (raw): 0.047 eV per atom
spin magnetization: 0.2 μB per formula unit
excess energy over the best structure of this formula in the dataset: 681 meV per atom

An optimized crystal structure of SrAl2Cl8, computed with PBE.

Structure (POSCAR):
```
SrAl2Cl8
1.0
9.061 -5.004 0.000
9.061 5.004 0.000
-5.341 0.000 8.673
Sr Al Cl
2 4 16
direct
0.030 0.970 0.750 Sr
0.970 0.030 0.250 Sr
0.155 0.651 0.939 Al
0.349 0.845 0.561 Al
0.651 0.155 0.439 Al
0.845 0.349 0.061 Al
0.051 0.271 0.992 Cl
0.079 0.642 0.699 Cl
0.136 0.788 0.439 Cl
0.212 0.864 0.061 Cl
0.271 0.051 0.492 Cl
0.343 0.442 0.994 Cl
0.358 0.921 0.801 Cl
0.442 0.343 0.494 Cl
0.558 0.657 0.506 Cl
0.642 0.079 0.199 Cl
0.657 0.558 0.006 Cl
0.729 0.949 0.508 Cl
0.788 0.136 0.939 Cl
0.864 0.212 0.561 Cl
0.921 0.358 0.301 Cl
0.949 0.729 0.008 Cl
```

## Properties
symmetry: C2/c, No. 15
ΔE_f (raw): -1.813 eV per atom
spin magnetization: 0.2 μB per formula unit
excess energy over the best structure of this formula in the dataset: 14 meV per atom

> Look up the excess energy over the best structure of this formula in the dataset of the second one.

681 meV per atom

> Among the records above, which one has the lowest excess energy over the best structure of this formula in the dataset?

SrAl2Cl8